Entry 1:
# Ga3FeN

Ga3FeN at its PBEsol-relaxed geometry (SCAN, Alexandria via LeMat-Bulk).

Unit cell a=4.100 b=4.100 c=4.100 alpha=90.00 beta=90.00 gamma=90.00
Each line ends with the local moment (μB).
Fractional positions:
Ga (0.000, 0.000, 0.500)  -0.05
Ga (0.500, 0.000, 0.000)  -0.05
Ga (0.000, 0.500, 0.000)  -0.05
N (0.000, 0.000, 0.000)  -0.17
Fe (0.500, 0.500, 0.500)  2.36

Entry 2:
# GaFeS2N

GaFeS2N at its PBEsol-relaxed geometry (SCAN, Alexandria via LeMat-Bulk).

Unit cell a=3.355 b=4.615 c=4.615 alpha=90.00 beta=90.00 gamma=90.00
Fractional positions:
S (0.000, 0.000, 0.500)
S (0.000, 0.500, 0.000)
Ga (0.500, 0.500, 0.500)
Fe (0.000, 0.000, 0.000)
N (0.500, 0.000, 0.000)

Listing uncorrected energy for the structures above in their given order: -73.2 -61.4 eV for the cell shown.
Listing ΔE_f (raw) for the structures above in their given order: 653 316 meV/atom.